Density functional theory data (PBE+U) for a geometry-optimized FeTeF3 structure.

Lattice parameters (Å, degrees): 4.6321 4.6321 4.6321 90.00 90.00 90.00
With the nearest neighbours (Å) after each atom.
Atoms (fractional coordinates):
Fe  0.0000  0.0000  0.0000  12 F 3.28
Te  0.5000  0.5000  0.5000  6 F 2.32
F  0.0000  0.5000  0.5000  2 Te 2.32
F  0.5000  0.0000  0.5000  2 Te 2.32
F  0.5000  0.5000  0.0000  2 Te 2.32

## Properties
Space-group type ... Pm-3m (221)
Density ... 4.02 g/cm3
Uncorrected energy ... -16.70 eV per cell
Distance to the lowest polymorph of the same formula ... 361.5 kJ/mol of formula units
Total moment ... 4.1 μB/f.u.